Entry 1:
BiP2PdO | PBE-GGA | relaxed

energy above the most stable polymorph in this dataset	0.00	eV/f.u.
ΔE_f (raw)	7.171	kcal/mol of atoms
calculated total energy	-4.659	eV/atom
symmetry	P4/mmm
V	18.5	Å³ per atom

Unit cell a=4.8714 b=4.8714 c=3.9039 alpha=90.00 beta=90.00 gamma=90.00
Last column: nearest neighbours and their distance in Å.
Element x y z (fractional)
Bi: 0.0000 0.0000 0.0000  8 P 3.12, 4 O 3.44
P: 0.0000 0.5000 0.5000  2 Pd 2.44
P: 0.5000 0.0000 0.5000  2 Pd 2.44
Pd: 0.5000 0.5000 0.5000  2 O 1.95
O: 0.5000 0.5000 0.0000  2 Pd 1.95

***

Entry 2:
BiP2PdO | PBE-GGA | relaxed

energy above the most stable polymorph in this dataset	3.12	eV/f.u.
ΔE_f (raw)	21.573	kcal/mol of atoms
calculated total energy	-4.035	eV/atom
symmetry	P4/mmm
V	22.5	Å³ per atom

Unit cell a=5.2556 b=5.2556 c=4.0814 alpha=90.00 beta=90.00 gamma=90.00
Last column: nearest neighbours and their distance in Å.
Element x y z (fractional)
Bi: 0.0000 0.0000 0.0000  2 O 2.04
P: 0.0000 0.5000 0.0000  2 Bi 2.63
P: 0.5000 0.0000 0.0000  2 Bi 2.63
Pd: 0.5000 0.5000 0.5000  8 P 3.33, 4 O 3.72
O: 0.0000 0.0000 0.5000  2 Bi 2.04

***

Entry 3:
PmBi2PO8 | PBE-GGA | relaxed

ΔE_f (raw)	-34.559	kcal/mol of atoms
calculated total energy	-6.298	eV/atom
symmetry	P-3m1
V	12.5	Å³ per atom

Unit cell a=5.1545 b=5.1545 c=6.5048 alpha=90.00 beta=90.00 gamma=120.00
Last column: nearest neighbours and their distance in Å.
Element x y z (fractional)
Pm: 0.0000 0.0000 0.0000  6 O 2.62
Bi: 0.3333 0.6667 0.3575  1 O 2.05
Bi: 0.6667 0.3333 0.6425  1 O 2.05
P: 0.0000 0.0000 0.5000  6 O 1.71
O: 0.1532 0.3064 0.6567  1 P 1.71
O: 0.1532 0.8468 0.6567  1 P 1.71
O: 0.3064 0.1532 0.3433  1 P 1.71
O: 0.3333 0.6667 0.0430  1 Bi 2.05
O: 0.6667 0.3333 0.9570  1 Bi 2.05
O: 0.6936 0.8468 0.6567  1 P 1.71
O: 0.8468 0.1532 0.3433  1 P 1.71
O: 0.8468 0.6936 0.3433  1 P 1.71

***

Entry 4:
PrBiP2O8 | PBE-GGA | relaxed

ΔE_f (raw)	-54.220	kcal/mol of atoms
calculated total energy	-7.280	eV/atom
symmetry	P-3
V	15.1	Å³ per atom

Unit cell a=5.3018 b=5.3018 c=7.4461 alpha=90.00 beta=90.00 gamma=120.00
Last column: nearest neighbours and their distance in Å.
Element x y z (fractional)
Pr: 0.0000 0.0000 0.0000  6 O 2.56
Bi: 0.0000 0.0000 0.5000  6 O 2.34
P: 0.3333 0.6667 0.7998  4 O 1.53-1.56
P: 0.6667 0.3333 0.2002  4 O 1.53-1.56
O: 0.1722 0.3464 0.7312  1 P 1.56
O: 0.1742 0.8278 0.7312  1 P 1.56
O: 0.3333 0.6667 0.0055  1 P 1.53
O: 0.3464 0.1742 0.2688  1 P 1.56
O: 0.6536 0.8258 0.7312  1 P 1.56
O: 0.6667 0.3333 0.9945  1 P 1.53
O: 0.8258 0.1722 0.2688  1 P 1.56
O: 0.8278 0.6536 0.2688  1 P 1.56

***

Entry 5:
BiPPtO2 | PBE-GGA | relaxed

energy above the most stable polymorph in this dataset	0.00	eV/f.u.
ΔE_f (raw)	0.315	kcal/mol of atoms
calculated total energy	-5.036	eV/atom
symmetry	P4/mmm
V	15.9	Å³ per atom

Unit cell a=4.0826 b=4.0826 c=4.7828 alpha=90.00 beta=90.00 gamma=90.00
Last column: nearest neighbours and their distance in Å.
Element x y z (fractional)
Bi: 0.0000 0.0000 0.0000  4 P 2.89, 8 O 3.14
P: 0.5000 0.5000 0.0000  2 Pt 2.39
Pt: 0.5000 0.5000 0.5000  4 O 2.04
O: 0.0000 0.5000 0.5000  2 Pt 2.04
O: 0.5000 0.0000 0.5000  2 Pt 2.04

***

Entry 6:
BiPPtO2 | PBE-GGA | relaxed

energy above the most stable polymorph in this dataset	2.02	eV/f.u.
ΔE_f (raw)	9.639	kcal/mol of atoms
calculated total energy	-4.632	eV/atom
symmetry	P4/mmm
V	18.7	Å³ per atom

Unit cell a=4.0319 b=4.0319 c=5.7486 alpha=90.00 beta=90.00 gamma=90.00
Last column: nearest neighbours and their distance in Å.
Element x y z (fractional)
Bi: 0.0000 0.0000 0.0000  4 O 2.02
P: 0.0000 0.0000 0.5000  4 Pt 2.85, 2 Bi 2.87
Pt: 0.5000 0.5000 0.5000  4 P 2.85
O: 0.0000 0.5000 0.0000  2 Bi 2.02
O: 0.5000 0.0000 0.0000  2 Bi 2.02

***

Entry 7:
PuBiP2O8 | PBE-GGA | relaxed

ΔE_f (raw)	-51.062	kcal/mol of atoms
calculated total energy	-7.939	eV/atom
symmetry	P-3m1
V	14.9	Å³ per atom

Unit cell a=5.2956 b=5.2956 c=7.3725 alpha=90.00 beta=90.00 gamma=120.00
Last column: nearest neighbours and their distance in Å.
Element x y z (fractional)
Pu: 0.0000 0.0000 0.0000  6 O 2.52
Bi: 0.0000 0.0000 0.5000  6 O 2.35
P: 0.3333 0.6667 0.8047  4 O 1.53-1.56
P: 0.6667 0.3333 0.1953  4 O 1.53-1.56
O: 0.1730 0.3461 0.7342  1 P 1.56
O: 0.1730 0.8270 0.7342  1 P 1.56
O: 0.3333 0.6667 0.0117  1 P 1.53
O: 0.3461 0.1730 0.2658  1 P 1.56
O: 0.6540 0.8270 0.7342  1 P 1.56
O: 0.6667 0.3333 0.9883  1 P 1.53
O: 0.8270 0.1730 0.2658  1 P 1.56
O: 0.8270 0.6540 0.2658  1 P 1.56

***

Entry 8:
Rb2BiPO6 | PBE-GGA | relaxed

ΔE_f (raw)	-32.211	kcal/mol of atoms
calculated total energy	-5.494	eV/atom
symmetry	P-3m1
V	18.7	Å³ per atom

Unit cell a=6.3699 b=6.3699 c=5.3214 alpha=90.00 beta=90.00 gamma=120.00
Last column: nearest neighbours and their distance in Å.
Element x y z (fractional)
Rb: 0.3333 0.6667 0.3556  9 O 2.89-3.22
Rb: 0.6667 0.3333 0.6444  9 O 2.89-3.22
Bi: 0.0000 0.0000 0.0000  6 O 2.15
P: 0.0000 0.0000 0.5000  6 O 1.77
O: 0.1295 0.2589 0.6977  1 P 1.77
O: 0.1295 0.8705 0.6977  1 P 1.77
O: 0.2589 0.1295 0.3023  1 P 1.77
O: 0.7411 0.8705 0.6977  1 P 1.77
O: 0.8705 0.1295 0.3023  1 P 1.77
O: 0.8705 0.7411 0.3023  1 P 1.77

***

Entry 9:
RbBiPO2 | PBE-GGA | relaxed

energy above the most stable polymorph in this dataset	5.88	eV/f.u.
ΔE_f (raw)	21.556	kcal/mol of atoms
calculated total energy	-3.100	eV/atom
symmetry	P4/mmm
V	21.7	Å³ per atom

Unit cell a=4.3162 b=4.3162 c=5.8264 alpha=90.00 beta=90.00 gamma=90.00
Last column: nearest neighbours and their distance in Å.
Element x y z (fractional)
Rb: 0.0000 0.0000 0.0000  4 O 2.16
Bi: 0.5000 0.5000 0.5000  4 P 3.05
P: 0.0000 0.0000 0.5000  2 Rb 2.91, 4 Bi 3.05
O: 0.0000 0.5000 0.0000  2 Rb 2.16
O: 0.5000 0.0000 0.0000  2 Rb 2.16

***

Entry 10:
RbBiP2O6 | PBE-GGA | relaxed

ΔE_f (raw)	-42.784	kcal/mol of atoms
calculated total energy	-6.397	eV/atom
symmetry	C2/c
V	15.8	Å³ per atom

Unit cell a=7.3784 b=7.3784 c=6.1885 alpha=104.24 beta=104.24 gamma=91.12
Last column: nearest neighbours and their distance in Å.
Element x y z (fractional)
Rb: 0.0484 0.9516 0.7500  8 O 2.82-3.03
Rb: 0.9516 0.0484 0.2500  8 O 2.82-3.03
Bi: 0.3348 0.6652 0.2500  4 O 2.21-2.36
Bi: 0.6652 0.3348 0.7500  4 O 2.21-2.36
P: 0.0900 0.4491 0.6472  3 O 1.52-1.58
P: 0.4491 0.0900 0.1472  3 O 1.52-1.58
P: 0.5509 0.9100 0.8528  3 O 1.52-1.58
P: 0.9100 0.5509 0.3528  3 O 1.52-1.58
O: 0.0538 0.6956 0.3158  1 P 1.58
O: 0.1502 0.6131 0.8665  1 P 1.54
O: 0.2493 0.3531 0.5626  1 P 1.52
O: 0.3044 0.9462 0.1842  1 P 1.58
O: 0.3531 0.2493 0.0626  1 P 1.52
O: 0.3869 0.8498 0.6335  1 P 1.54
O: 0.6131 0.1502 0.3665  1 P 1.54
O: 0.6469 0.7507 0.9374  1 P 1.52
O: 0.6956 0.0538 0.8158  1 P 1.58
O: 0.7507 0.6469 0.4374  1 P 1.52
O: 0.8498 0.3869 0.1335  1 P 1.54
O: 0.9462 0.3044 0.6842  1 P 1.58

***

Entry 11:
RbBiPO2 | PBE-GGA | relaxed

energy above the most stable polymorph in this dataset	0.00	eV/f.u.
ΔE_f (raw)	-5.569	kcal/mol of atoms
calculated total energy	-4.276	eV/atom
symmetry	P4/mmm
V	21.9	Å³ per atom

Unit cell a=4.5055 b=4.5055 c=5.3942 alpha=90.00 beta=90.00 gamma=90.00
Last column: nearest neighbours and their distance in Å.
Element x y z (fractional)
Rb: 0.0000 0.0000 0.0000  4 P 3.19, 8 O 3.51
Bi: 0.5000 0.5000 0.5000  4 O 2.25
P: 0.5000 0.5000 0.0000  2 Bi 2.70
O: 0.0000 0.5000 0.5000  2 Bi 2.25
O: 0.5000 0.0000 0.5000  2 Bi 2.25

***

Entry 12:
Rb3BiP2O8 | PBE-GGA | relaxed

ΔE_f (raw)	-48.118	kcal/mol of atoms
calculated total energy	-6.177	eV/atom
symmetry	P-3m1
V	17.5	Å³ per atom

Unit cell a=5.8096 b=5.8096 c=8.3917 alpha=90.00 beta=90.00 gamma=120.00
Last column: nearest neighbours and their distance in Å.
Element x y z (fractional)
Rb: 0.0000 0.0000 0.0000  12 O 3.34-3.43
Rb: 0.3333 0.6667 0.7584  7 O 2.74-3.00
Rb: 0.6667 0.3333 0.2416  7 O 2.74-3.00
Bi: 0.0000 0.0000 0.5000  6 O 2.36
P: 0.3333 0.6667 0.2665  4 O 1.53-1.57
P: 0.6667 0.3333 0.7335  4 O 1.53-1.57
O: 0.1862 0.3723 0.3291  1 P 1.57
O: 0.1862 0.8138 0.3291  1 P 1.57
O: 0.3333 0.6667 0.0845  1 P 1.53
O: 0.3723 0.1862 0.6709  1 P 1.57
O: 0.6277 0.8138 0.3291  1 P 1.57
O: 0.6667 0.3333 0.9155  1 P 1.53
O: 0.8138 0.1862 0.6709  1 P 1.57
O: 0.8138 0.6277 0.6709  1 P 1.57